Entry 1:
# HfScZn PBE-GGA relaxed
data_HfScZn
_chemical_formula_sum 'Hf2 Sc2 Zn2'
_space_group_name_H-M_alt 'P 1'
_space_group_IT_number 1
_cell_length_a 4.551
_cell_length_b 4.551
_cell_length_c 6.489
_cell_angle_alpha 90.00
_cell_angle_beta 90.00
_cell_angle_gamma 90.00
loop_
_space_group_symop_operation_xyz
'x,y,z'
loop_
_atom_site_label
_atom_site_fract_x
_atom_site_fract_y
_atom_site_fract_z
Hf1 0.500 0.500 0.500
Hf2 0.000 0.000 0.500
Sc1 0.000 0.000 0.000
Sc2 0.500 0.500 0.000
Zn1 0.000 0.500 0.255
Zn2 0.500 0.000 0.745
# Total energy ... -5.658 eV/atom
# Distance to the lowest polymorph of the same formula ... 388.7 meV/atom
# Total moment ... 0.0 μB/f.u.
# Calculated volume ... 134.4 Å³ per cell

***

Entry 2:
# Hf3Sc2Zn3 PBE-GGA relaxed
data_Hf3Sc2Zn3
_chemical_formula_sum 'Hf3 Sc2 Zn3'
_space_group_name_H-M_alt 'P 1'
_space_group_IT_number 1
_cell_length_a 3.335
_cell_length_b 4.721
_cell_length_c 10.246
_cell_angle_alpha 103.32
_cell_angle_beta 99.36
_cell_angle_gamma 90.00
loop_
_space_group_symop_operation_xyz
'x,y,z'
loop_
_atom_site_label
_atom_site_fract_x
_atom_site_fract_y
_atom_site_fract_z
Zn1 0.000 0.500 0.000
Zn2 0.117 0.117 0.234
Zn3 0.883 0.883 0.766
Hf1 0.377 0.377 0.755
Hf2 0.623 0.623 0.245
Hf3 0.500 0.000 0.000
Sc1 0.266 0.766 0.533
Sc2 0.734 0.234 0.467
# Total energy ... -5.937 eV/atom
# Total moment ... 0.0 μB/f.u.
# Calculated volume ... 154.8 Å³ per cell

***

Entry 3:
# HfSc3Zn4 PBE-GGA relaxed
data_HfSc3Zn4
_chemical_formula_sum 'Hf1 Sc3 Zn4'
_space_group_name_H-M_alt 'P 1'
_space_group_IT_number 1
_cell_length_a 3.326
_cell_length_b 3.326
_cell_length_c 13.442
_cell_angle_alpha 90.00
_cell_angle_beta 90.00
_cell_angle_gamma 90.00
loop_
_space_group_symop_operation_xyz
'x,y,z'
loop_
_atom_site_label
_atom_site_fract_x
_atom_site_fract_y
_atom_site_fract_z
Sc1 0.500 0.500 0.500
Sc2 0.500 0.500 0.248
Sc3 0.500 0.500 0.752
Hf1 0.500 0.500 0.000
Zn1 0.000 0.000 0.373
Zn2 0.000 0.000 0.123
Zn3 0.000 0.000 0.877
Zn4 0.000 0.000 0.627
# Total energy ... -4.577 eV/atom
# Total moment ... 0.0 μB/f.u.
# Calculated volume ... 148.7 Å³ per cell

***

Density, record by record: 7.14 8.82 6.42 g/cm3
DOS(E_F), record by record: 1.48 0.83 0.95 states/eV per atom
ΔH_f (0 K), record by record: 0.195 -0.144 -0.322 eV per atom